## TiNbW2F (GGA+U)

Data for TiNbW2F after structural relaxation.

Values from the calculation:
Its energy above the most stable polymorph in this dataset is 0.000 eV/atom. The calculation puts the magnetization at 1.89 Bohr magnetons per cell. The value obtained for the final energy is -6.120 eV/atom. Its density of states at the Fermi level is 0.8726 states/eV per atom. As for the density: 10.5 g/cm3.

abc: 4.4304 4.4304 4.2555
angles: 90.00 90.00 90.00
Closest atoms and distances in Å follow each position.
Space group P4/mmm (No. 123)
Asymmetric unit:
Ti (0.0000, 0.0000, 0.0000)  8 W 3.07, 4 Nb 3.13
Nb (0.5000, 0.5000, 0.0000)  2 F 2.13
W (0.0000, 0.5000, 0.5000)  2 F 2.22
F (0.5000, 0.5000, 0.5000)  2 Nb 2.13, 4 W 2.22